Entry 1:
RbAs3Os: relaxed, GGA-PBEsol.

Results
Volume ... 27.993 Å³ per atom
Energy of formation from the pure elements ... 2.959 eV per atom

```
RbAs3Os
1.0
5.192 0.000 0.000
0.000 5.192 0.000
0.000 0.000 5.192
Rb As Os
1 3 1
Cartesian
0.000 0.000 0.000
0.000 0.000 2.596
0.000 2.596 0.000
2.596 0.000 0.000
2.596 2.596 2.596
```


Entry 2:
BeRe2As: relaxed, GGA-PBEsol.

Results
Relative energy among the computed polymorphs ... 553 meV per atom
Volume ... 13.629 Å³ per atom
Energy of formation from the pure elements ... 0.484 eV per atom

```
BeRe2As
1.0
2.971 0.000 0.000
0.000 4.005 0.000
0.000 0.000 4.582
Be Re As
1 2 1
Cartesian
0.000 0.000 0.000
0.000 2.002 2.291
1.486 2.002 0.000
1.486 0.000 2.291
```


Entry 3:
CdTcBi2: relaxed, GGA-PBEsol.

Results
Volume ... 32.310 Å³ per atom
Energy of formation from the pure elements ... 0.811 eV per atom

```
CdTcBi2
1.0
6.602 0.000 0.000
0.000 6.602 0.000
0.000 0.000 11.862
Cd Tc Bi
4 4 8
Cartesian
0.000 0.000 0.000
0.000 3.301 2.966
3.301 0.000 8.897
3.301 3.301 5.931
0.000 0.000 5.931
0.000 3.301 8.897
3.301 0.000 2.966
3.301 3.301 0.000
1.370 1.650 7.414
1.650 4.671 10.379
1.650 5.231 4.448
1.931 1.650 1.483
4.671 4.951 1.483
4.951 1.370 4.448
4.951 1.931 10.379
5.231 4.951 7.414
```


Entry 4:
MgFe3Se: relaxed, GGA-PBEsol.

Results
Formation energy (no corrections) ... 1.61 eV/atom
Volume ... 17.398 Å³ per atom

```
MgFe3Se
1.0
4.431 0.000 0.000
0.000 4.431 0.000
0.000 0.000 4.431
Mg Fe Se
1 3 1
Cartesian
0.000 0.000 0.000
0.000 0.000 2.215
0.000 2.215 0.000
2.215 0.000 0.000
2.215 2.215 2.215
```


Entry 5:
CaScMnH2: relaxed, GGA-PBEsol.

Results
Calculated total energy ... -4.673 eV per atom
Volume ... 16.117 Å³ per atom

```
CaScMnH2
1.0
4.081 0.000 0.000
0.000 4.081 0.000
0.000 0.000 4.839
Ca Sc Mn H
1 1 1 2
Cartesian
0.000 0.000 0.000
2.040 2.040 2.420
2.040 2.040 0.000
0.000 2.040 2.420
2.040 0.000 2.420
```


Entry 6:
Li2BeRh: relaxed, GGA-PBEsol.

Results
Volume ... 13.744 Å³ per atom
Energy of formation from the pure elements ... -0.209 eV per atom

```
Li2BeRh
1.0
2.932 0.000 0.000
0.000 2.932 0.000
-0.005 0.000 6.395
Li Be Rh
2 1 1
Cartesian
0.000 0.000 0.000
1.461 1.466 2.221
1.464 1.466 4.672
-0.002 0.000 3.866
```


Entry 7:
LiSm2OsO6: relaxed, GGA-PBEsol.

Results
Formation energy (no corrections) ... -2.45 eV/atom
Volume ... 11.669 Å³ per atom

```
LiSm2OsO6
1.0
5.324 0.000 0.000
0.000 5.759 0.000
-5.225 0.000 7.611
Li Sm Os O
2 4 2 12
Cartesian
0.000 0.000 0.000
-2.613 2.879 3.806
-2.695 0.441 5.699
-0.082 2.438 1.893
0.181 3.321 5.719
2.794 5.318 1.913
0.050 0.000 3.806
2.662 2.879 0.000
-1.568 1.061 3.420
-4.180 1.819 7.226
-0.899 4.075 3.377
-3.511 4.563 7.182
0.591 0.202 1.928
-2.021 2.678 5.734
2.120 3.081 1.877
-0.492 5.557 5.683
3.611 1.196 0.429
0.998 1.684 4.235
4.279 3.940 0.385
1.667 4.698 4.191
```


Entry 8:
In2OsSe: relaxed, GGA-PBEsol.

Results
Formation energy (no corrections) ... 0.39 eV/atom
Volume ... 19.601 Å³ per atom

```
In2OsSe
1.0
3.392 0.000 0.000
-1.696 2.937 0.000
0.000 0.000 23.609
In Os Se
6 3 3
Cartesian
0.000 0.000 5.845
0.000 0.000 17.764
0.000 1.958 9.894
0.000 1.958 21.585
1.696 0.979 2.024
1.696 0.979 13.715
0.000 0.000 11.805
0.000 1.958 3.935
1.696 0.979 19.674
0.000 0.000 0.000
0.000 1.958 15.739
1.696 0.979 7.870
```


Entry 9:
SrTcN2: relaxed, GGA-PBEsol.

Results
Formation energy (no corrections) ... -0.51 eV/atom
Volume ... 15.889 Å³ per atom

```
SrTcN2
1.0
4.995 0.000 0.000
0.000 4.995 0.000
0.000 0.000 10.188
Sr Tc N
4 4 8
Cartesian
0.000 0.000 0.000
0.000 2.498 2.547
2.498 0.000 7.641
2.498 2.498 5.094
0.000 0.000 5.094
0.000 2.498 7.641
2.498 0.000 2.547
2.498 2.498 0.000
0.648 1.249 6.367
1.249 3.146 8.914
1.249 4.347 3.820
1.849 1.249 1.273
3.146 3.747 1.273
3.747 0.648 3.820
3.747 1.849 8.914
4.347 3.747 6.367
```


Entry 10:
Rb3FeNi: relaxed, GGA-PBEsol.

Results
Volume ... 45.056 Å³ per atom
Energy of formation from the pure elements ... 1.289 eV per atom

```
Rb3FeNi
1.0
6.085 0.000 0.000
0.000 6.085 0.000
0.000 0.000 6.085
Rb Fe Ni
3 1 1
Cartesian
0.000 0.000 3.042
0.000 3.042 0.000
3.042 0.000 0.000
3.042 3.042 3.042
0.000 0.000 0.000
```


Entry 11:
CoOsRh2: relaxed, GGA-PBEsol.

Results
Relative energy among the computed polymorphs ... 4 meV per atom
Volume ... 12.902 Å³ per atom
Energy of formation from the pure elements ... 0.072 eV per atom

```
CoOsRh2
1.0
2.657 0.000 0.000
0.000 2.657 0.000
0.000 0.000 7.310
Co Os Rh
1 1 2
Cartesian
0.000 0.000 0.000
0.000 0.000 3.655
1.329 1.329 1.766
1.329 1.329 5.544
```


Entry 12:
BaCoAu2: relaxed, GGA-PBEsol.

Results
Relative energy among the computed polymorphs ... 0 meV per atom
Volume ... 23.602 Å³ per atom
Energy of formation from the pure elements ... -0.146 eV per atom

```
BaCoAu2
1.0
4.426 0.000 0.000
-2.213 3.833 0.000
0.000 0.000 16.692
Ba Co Au
3 3 6
Cartesian
0.000 0.000 0.000
0.000 2.556 11.128
2.213 1.278 5.564
0.000 0.000 8.346
0.000 2.556 2.782
2.213 1.278 13.910
0.000 0.000 3.300
0.000 0.000 13.391
0.000 2.556 7.827
0.000 2.556 14.428
2.213 1.278 2.263
2.213 1.278 8.864
```